# DyGe2WO8

DyGe2WO8 after structural relaxation (GGA+U, Alexandria via LeMat-Bulk).

Output
Final energy, eV/atom: -7.1523

Unit cell a=6.8838 b=6.8838 c=6.2512 alpha=90.00 beta=90.00 gamma=90.00
Closest atoms and distances in Å follow each position.
Space group I-4m2 (No. 119)
One atom of each set of equivalent atoms:
1 Dy 0.0000 0.0000 0.0000 (multiplicity 2)  8 O 2.26-2.38
2 Ge 0.0000 0.0000 0.5000 (multiplicity 2)  4 O 1.77
3 Ge 0.0000 0.5000 0.7500 (multiplicity 2)  4 O 1.77
4 W 0.0000 0.5000 0.2500 (multiplicity 2)  8 O 2.14-2.18
5 O 0.0000 0.1944 0.3149 (multiplicity 8)  1 Ge 1.77
6 O 0.0000 0.3268 0.9588 (multiplicity 8)  1 Ge 1.77